# 1
Computed, not measured: a relaxed Ba2ZnAuS crystal at the PBE-GGA level of DFT.

Properties
Mass density (g/cm³): 5.3
Symmetry: P4/mmm
DFT total energy (eV/atom): -3.079

Unit cell a=6.083 b=6.083 c=4.846 alpha=90.00 beta=90.00 gamma=90.00
Atoms (fractional coordinates):
Ba1 0.000 0.500 0.000
Ba2 0.500 0.000 0.000
Zn1 0.000 0.000 0.500
Au1 0.500 0.500 0.500
S1 0.500 0.500 0.000

=====

# 2
Computed, not measured: a relaxed Ga2CuRhPb crystal at the PBE-GGA level of DFT.

Properties
Mass density (g/cm³): 8.4
Symmetry: P4/mmm
Formation enthalpy at 0 K (eV per formula unit): 1.5
DFT total energy (eV/atom): -3.949

Unit cell a=4.512 b=4.512 c=4.982 alpha=90.00 beta=90.00 gamma=90.00
Atoms (fractional coordinates):
Ga1 0.000 0.500 0.000
Ga2 0.500 0.000 0.000
Cu1 0.000 0.000 0.000
Rh1 0.000 0.000 0.500
Pb1 0.500 0.500 0.500

=====

# 3
Computed, not measured: a relaxed TeIrRh crystal at the PBE-GGA level of DFT.

Properties
Mass density (g/cm³): 13.1
Polymorph energy (0 for the lowest one) (meV/atom): 117
Symmetry: P3m1
DFT total energy (eV/atom): -6.226

Unit cell a=4.190 b=4.190 c=3.538 alpha=90.00 beta=90.00 gamma=120.00
Atoms (fractional coordinates):
Te1 0.000 0.000 0.000
Ir1 0.667 0.333 0.251
Rh1 0.333 0.667 0.721

=====

# 4
Computed, not measured: a relaxed LaSbIr crystal at the PBE-GGA level of DFT.

Properties
Mass density (g/cm³): 9.6
Symmetry: R-3m
DFT total energy (eV/atom): -6.506

Unit cell a=8.656 b=8.656 c=8.656 alpha=31.41 beta=31.41 gamma=31.41
Atoms (fractional coordinates):
La1 0.120 0.120 0.120
La2 0.880 0.880 0.880
Sb1 0.377 0.377 0.377
Sb2 0.623 0.623 0.623
Ir1 0.266 0.266 0.266
Ir2 0.734 0.734 0.734

=====

# 5
Computed, not measured: a relaxed PmThP2 crystal at the PBE-GGA level of DFT.

Properties
Mass density (g/cm³): 8.2
Polymorph energy (0 for the lowest one) (meV/atom): 442
Symmetry: P4/mmm
Formation enthalpy at 0 K (eV per formula unit): -4.5
DFT total energy (eV/atom): -6.882

Unit cell a=5.015 b=5.015 c=3.556 alpha=90.00 beta=90.00 gamma=90.00
Atoms (fractional coordinates):
Pm1 0.000 0.000 0.000
Th1 0.500 0.500 0.000
P1 0.000 0.500 0.500
P2 0.500 0.000 0.500

=====

# 6
Computed, not measured: a relaxed LaPa2OsN5 crystal at the PBE-GGA level of DFT.

Properties
Mass density (g/cm³): 11.1
Symmetry: I4/mcm
DFT total energy (eV/atom): -9.672

Unit cell a=7.558 b=7.558 c=7.558 alpha=128.52 beta=128.52 gamma=75.79
Atoms (fractional coordinates):
La1 0.250 0.250 0.000
La2 0.750 0.750 0.000
Pa1 0.182 0.682 0.864
Pa2 0.318 0.182 0.500
Pa3 0.682 0.818 0.500
Pa4 0.818 0.318 0.136
Os1 0.250 0.750 0.500
Os2 0.750 0.250 0.500
N1 0.000 0.000 0.000
N2 0.014 0.232 0.500
N3 0.232 0.732 0.218
N4 0.268 0.486 0.500
N5 0.486 0.986 0.218
N6 0.500 0.500 0.000
N7 0.514 0.014 0.782
N8 0.732 0.514 0.500
N9 0.768 0.268 0.782
N10 0.986 0.768 0.500

=====

# 7
Computed, not measured: a relaxed CaPrAl crystal at the PBE-GGA level of DFT.

Properties
Mass density (g/cm³): 3.6
Polymorph energy (0 for the lowest one) (meV/atom): 159
Symmetry: P-3m1
Formation enthalpy at 0 K (eV per formula unit): -0.3
DFT total energy (eV/atom): -3.620

Unit cell a=5.272 b=5.272 c=7.944 alpha=90.00 beta=90.00 gamma=120.00
Atoms (fractional coordinates):
Ca1 0.333 0.667 0.366
Ca2 0.667 0.333 0.634
Pr1 0.333 0.667 0.898
Pr2 0.667 0.333 0.102
Al1 0.000 0.000 0.179
Al2 0.000 0.000 0.821

=====

# 8
Computed, not measured: a relaxed Nd4In2H crystal at the PBE-GGA level of DFT.

Properties
Mass density (g/cm³): 6.8
Symmetry: I4/mmm
DFT total energy (eV/atom): -4.343

Unit cell a=9.277 b=9.277 c=9.277 alpha=150.18 beta=150.18 gamma=42.68
Atoms (fractional coordinates):
Nd1 0.000 0.500 0.500
Nd2 0.178 0.178 0.000
Nd3 0.500 0.000 0.500
Nd4 0.822 0.822 0.000
In1 0.364 0.364 0.000
In2 0.636 0.636 0.000
H1 0.000 0.000 0.000

=====

# 9
Computed, not measured: a relaxed Mg4CdIn2 crystal at the PBE-GGA level of DFT.

Properties
Mass density (g/cm³): 4.3
Polymorph energy (0 for the lowest one) (meV/atom): 30
Symmetry: P2_1/c
Formation enthalpy at 0 K (eV per formula unit): 0.0
DFT total energy (eV/atom): -1.830

Unit cell a=5.538 b=9.658 c=6.374 alpha=90.00 beta=97.93 gamma=90.00
Atoms (fractional coordinates):
Mg1 0.002 0.242 0.271
Mg2 0.002 0.258 0.771
Mg3 0.494 0.683 0.491
Mg4 0.494 0.817 0.991
Mg5 0.506 0.183 0.009
Mg6 0.506 0.317 0.509
Mg7 0.998 0.742 0.229
Mg8 0.998 0.758 0.729
Cd1 0.000 0.000 0.000
Cd2 0.000 0.500 0.500
In1 0.275 0.013 0.596
In2 0.275 0.487 0.096
In3 0.725 0.513 0.904
In4 0.725 0.987 0.404

=====

# 10
Computed, not measured: a relaxed Er2MgCu crystal at the PBE-GGA level of DFT.

Properties
Mass density (g/cm³): 6.8
Polymorph energy (0 for the lowest one) (meV/atom): 583
Symmetry: R-3m
Formation enthalpy at 0 K (eV per formula unit): 1.7
DFT total energy (eV/atom): -3.279

Unit cell a=11.019 b=11.019 c=11.019 alpha=17.33 beta=17.33 gamma=17.33
Atoms (fractional coordinates):
Er1 0.085 0.085 0.085
Er2 0.915 0.915 0.915
Mg1 0.500 0.500 0.500
Cu1 0.000 0.000 0.000

=====

# 11
Computed, not measured: a relaxed Sb2WSeCl crystal at the PBE-GGA level of DFT.

Properties
Mass density (g/cm³): 6.9
Symmetry: P4/mmm
DFT total energy (eV/atom): -3.902

Unit cell a=5.469 b=5.469 c=4.331 alpha=90.00 beta=90.00 gamma=90.00
Atoms (fractional coordinates):
Sb1 0.000 0.500 0.000
Sb2 0.500 0.000 0.000
W1 0.000 0.000 0.500
Se1 0.500 0.500 0.500
Cl1 0.000 0.000 0.000

=====

# 12
Computed, not measured: a relaxed LaSb2P2 crystal at the PBE-GGA level of DFT.

Properties
Mass density (g/cm³): 5.7
Polymorph energy (0 for the lowest one) (meV/atom): 0
Symmetry: P4/mbm
DFT total energy (eV/atom): -5.221

Unit cell a=8.119 b=8.119 c=3.908 alpha=90.00 beta=90.00 gamma=90.00
Atoms (fractional coordinates):
La1 0.000 0.000 0.000
La2 0.500 0.500 0.000
Sb1 0.180 0.320 0.500
Sb2 0.320 0.820 0.500
Sb3 0.680 0.180 0.500
Sb4 0.820 0.680 0.500
P1 0.170 0.670 0.000
P2 0.330 0.170 0.000
P3 0.670 0.830 0.000
P4 0.830 0.330 0.000

=====

# 13
Computed, not measured: a relaxed CdTcAs2 crystal at the PBE-GGA level of DFT.

Properties
Mass density (g/cm³): 8.1
Symmetry: Amm2
Formation enthalpy at 0 K (eV per formula unit): 0.7
DFT total energy (eV/atom): -4.968

Unit cell a=4.630 b=4.937 c=4.937 alpha=40.73 beta=90.00 gamma=90.00
Atoms (fractional coordinates):
Cd1 0.000 0.000 0.000
Tc1 0.500 0.605 0.605
As1 0.000 0.725 0.725
As2 0.500 0.313 0.313

=====

# 14
Computed, not measured: a relaxed SrZn2AgRu crystal at the PBE-GGA level of DFT.

Properties
Mass density (g/cm³): 4.1
Symmetry: P4/mmm
Formation enthalpy at 0 K (eV per formula unit): 8.5
DFT total energy (eV/atom): -1.563

Unit cell a=5.596 b=5.596 c=5.552 alpha=90.00 beta=90.00 gamma=90.00
Atoms (fractional coordinates):
Sr1 0.000 0.000 0.000
Zn1 0.000 0.500 0.000
Zn2 0.500 0.000 0.000
Ag1 0.000 0.000 0.500
Ru1 0.500 0.500 0.500

=====

# 15
Computed, not measured: a relaxed Ac4NiSn8 crystal at the PBE-GGA level of DFT.

Properties
Mass density (g/cm³): 8.0
Symmetry: Pmm2
Formation enthalpy at 0 K (eV per formula unit): -7.6
DFT total energy (eV/atom): -4.758

Unit cell a=4.587 b=4.721 c=18.449 alpha=90.00 beta=90.00 gamma=90.00
Atoms (fractional coordinates):
Ac1 0.000 0.000 0.000
Ac2 0.000 0.500 0.498
Ac3 0.500 0.000 0.210
Ac4 0.500 0.500 0.708
Ni1 0.500 0.000 0.415
Sn1 0.000 0.000 0.350
Sn2 0.000 0.000 0.657
Sn3 0.000 0.500 0.156
Sn4 0.000 0.500 0.858
Sn5 0.500 0.000 0.555
Sn6 0.500 0.000 0.850
Sn7 0.500 0.500 0.052
Sn8 0.500 0.500 0.348

=====

# 16
Computed, not measured: a relaxed YGaCo2C crystal at the PBE-GGA level of DFT.

Properties
Mass density (g/cm³): 6.9
Symmetry: Cmcm
Formation enthalpy at 0 K (eV per formula unit): -1.9
DFT total energy (eV/atom): -6.970

Unit cell a=5.629 b=5.629 c=6.907 alpha=90.00 beta=90.00 gamma=140.42
Atoms (fractional coordinates):
Y1 0.051 0.949 0.750
Y2 0.949 0.051 0.250
Ga1 0.229 0.771 0.250
Ga2 0.771 0.229 0.750
Co1 0.340 0.660 0.560
Co2 0.340 0.660 0.940
Co3 0.660 0.340 0.060
Co4 0.660 0.340 0.440
C1 0.500 0.500 0.000
C2 0.500 0.500 0.500

=====

# 17
Computed, not measured: a relaxed Na6TlHg2 crystal at the PBE-GGA level of DFT.

Properties
Mass density (g/cm³): 4.6
Symmetry: P-62m
Formation enthalpy at 0 K (eV per formula unit): -1.2
DFT total energy (eV/atom): -1.346

Unit cell a=8.823 b=8.823 c=4.001 alpha=90.00 beta=90.00 gamma=120.00
Atoms (fractional coordinates):
Na1 0.000 0.384 0.000
Na2 0.000 0.717 0.500
Na3 0.283 0.283 0.500
Na4 0.384 0.000 0.000
Na5 0.616 0.616 0.000
Na6 0.717 0.000 0.500
Tl1 0.000 0.000 0.000
Hg1 0.333 0.667 0.500
Hg2 0.667 0.333 0.500

=====

# 18
Computed, not measured: a relaxed CoCu2Te crystal at the PBE-GGA level of DFT.

Properties
Mass density (g/cm³): 9.1
Symmetry: I-4m2
DFT total energy (eV/atom): -4.361

Unit cell a=4.666 b=4.666 c=4.666 alpha=130.66 beta=130.66 gamma=72.36
Atoms (fractional coordinates):
Co1 0.000 0.000 0.000
Cu1 0.500 0.500 0.000
Cu2 0.750 0.250 0.500
Te1 0.250 0.750 0.500

=====

# 19
Computed, not measured: a relaxed CePmBiI crystal at the PBE-GGA level of DFT.

Properties
Mass density (g/cm³): 8.5
Symmetry: F-43m
DFT total energy (eV/atom): -4.817

Unit cell a=5.557 b=5.557 c=5.557 alpha=60.00 beta=60.00 gamma=60.00
Atoms (fractional coordinates):
Ce1 0.000 0.000 0.000
Pm1 0.500 0.500 0.500
Bi1 0.750 0.750 0.750
I1 0.250 0.250 0.250

=====

# 20
Computed, not measured: a relaxed CrSnPt crystal at the PBE-GGA level of DFT.

Properties
Mass density (g/cm³): 11.7
Symmetry: P2_1/m
Formation enthalpy at 0 K (eV per formula unit): -0.4
DFT total energy (eV/atom): -6.678

Unit cell a=4.130 b=3.681 c=6.872 alpha=90.00 beta=96.11 gamma=90.00
Atoms (fractional coordinates):
Cr1 0.172 0.250 0.017
Cr2 0.828 0.750 0.983
Sn1 0.249 0.750 0.340
Sn2 0.751 0.250 0.660
Pt1 0.277 0.750 0.746
Pt2 0.723 0.250 0.254

=====

The records above yield calculated volume values of 179; 101; 54; 78; 89; 129; 96; 197; 169; 104; 130; 129; 74; 174; 400; 70; 270; 57; 121; 52 Å³/f.u., respectively.
The records above yield spin magnetization values of 0.000; 0.000; 0.000; 0.000; 0.000; 0.000; 0.000; 0.000; 0.000; 0.000; 0.004; 0.000; 0.000; 0.550; 0.000; 0.000; 0.000; 0.154; 0.478; 0.032 μB per atom, respectively.